Material: KLiSc2
Method: DFT, PBE
State: relaxed

The value obtained for the formation enthalpy at 0 K is 2.30 eV per formula unit. The crystal system is orthorhombic. Its magnetic moment is 3.02 μB/cell. The calculation puts the raw total energy at -3.34 eV per atom. The calculation puts the distance to the lowest polymorph of the same formula at 295 meV/atom.

The space group is Imm2 (No. 44) and the conventional cell measures 3.383, 6.171 and 11.441 Å, with angles of 90.00, 90.00 and 90.00 degrees. The inequivalent atoms are K at (0.000, 0.000, 0.000), Li at (0.000, 0.500, 0.254), Sc at (0.000, 0.000, 0.529) and Sc at (0.000, 0.500, 0.795).